# 1
NdMgAlPd, optimized geometry, DFT PBE; calculated volume = 21.298 Å³ per atom; E = -4.30 eV per atom; DOS at the Fermi energy = 0.62 states/eV/atom
1.0
-1.126 3.716 -3.052
1.013 -0.369 -4.820
-3.672 -0.511 -3.263
Pd Al Mg Nd
1 1 1 1
direct
0.750 0.750 0.750
0.250 0.250 0.250
0.500 0.500 0.500
0.000 0.000 0.000

***

# 2
Zr2Ta, optimized geometry, DFT PBE; calculated volume = 21.013 Å³ per atom; E = -9.20 eV per atom; DOS at the Fermi energy = 1.31 states/eV/atom
1.0
5.650 0.000 0.000
2.825 4.893 0.000
0.000 0.000 9.122
Ta Zr
4 8
direct
0.333 0.333 0.566
0.667 0.667 0.066
0.333 0.333 0.934
0.667 0.667 0.434
0.175 0.175 0.250
0.175 0.650 0.250
0.650 0.175 0.250
0.000 0.000 0.000
0.350 0.825 0.750
0.825 0.825 0.750
0.825 0.350 0.750
0.000 0.000 0.500

***

Please write out number 1 again, unchanged.
NdMgAlPd, optimized geometry, DFT PBE; calculated volume = 21.298 Å³ per atom; E = -4.30 eV per atom; DOS at the Fermi energy = 0.62 states/eV/atom
1.0
-1.126 3.716 -3.052
1.013 -0.369 -4.820
-3.672 -0.511 -3.263
Pd Al Mg Nd
1 1 1 1
direct
0.750 0.750 0.750
0.250 0.250 0.250
0.500 0.500 0.500
0.000 0.000 0.000

***

Q: Which value of calculated volume does entry 1 give?
A: 21.298 Å³ per atom

***

Q: Number 1 is which compound?
A: NdMgAlPd

***

Q: calculated volume of number 1 (NdMgAlPd)?
A: 21.298 Å³ per atom